[1]
# InAgW2 GGA-PBE relaxed
data_InAgW2
_chemical_formula_sum 'In2 Ag2 W4'
_space_group_name_H-M_alt 'C 1 m 1'
_space_group_IT_number 8
_space_group_name_Hall 'C -2y'
_cell_length_a 9.5735
_cell_length_b 2.7848
_cell_length_c 5.3223
_cell_angle_alpha 90.00
_cell_angle_beta 95.65
_cell_angle_gamma 90.00
loop_
_atom_site_label
_atom_site_type_symbol
_atom_site_fract_x
_atom_site_fract_y
_atom_site_fract_z
In1 In 0.0000 0.0000 0.0000
Ag1 Ag 0.2480 0.0000 0.7806
W1 W 0.0009 0.5000 0.4936
W2 W 0.2482 0.5000 0.2947
# Total magnetization in μB/atom: 0.00
# Raw total energy in eV/atom: -7.29

[2]
# Er4Ag2HgPb GGA-PBE relaxed
data_Er4Ag2HgPb
_chemical_formula_sum 'Er12 Ag6 Hg3 Pb3'
_space_group_name_H-M_alt 'R -3 m'
_space_group_IT_number 166
_space_group_name_Hall '-R 3 2"'
_cell_length_a 5.2011
_cell_length_b 5.2011
_cell_length_c 25.5229
_cell_angle_alpha 90.00
_cell_angle_beta 90.00
_cell_angle_gamma 120.00
loop_
_atom_site_label
_atom_site_type_symbol
_atom_site_fract_x
_atom_site_fract_y
_atom_site_fract_z
Er1 Er 0.0000 0.0000 0.1224
Er2 Er 0.0000 0.0000 0.3724
Ag1 Ag 0.0000 0.0000 0.2524
Hg1 Hg 0.0000 0.0000 0.0000
Pb1 Pb 0.0000 0.0000 0.5000
# Total magnetization in μB/atom: 0.00
# Raw total energy in eV/atom: -3.89